6
Lattice="0.000 4.529 4.529 4.529 0.000 4.529 4.529 4.529 0.000" Properties=species:S:1:pos:R:3 comment="CaLa4Ir, optimized geometry, DFT GGA-PBE" formation_energy_ev_per_atom=0.53 e_tot_ev_per_fu=-27.367 de_polymorph_mev_per_atom=790 pbc="T T T"
Ca 0.000 0.000 0.000
La 3.429 3.429 3.429
La 5.628 5.628 3.429
La 5.628 3.429 5.628
La 3.429 5.628 5.628
Ir 6.793 6.793 6.793



14
Lattice="10.967 -2.136 0.000 10.967 2.136 0.000 -2.417 0.000 9.963" Properties=species:S:1:pos:R:3 comment="CaLa8Ir5, optimized geometry, DFT GGA-PBE" formation_energy_ev_per_atom=-0.61 e_tot_ev_per_fu=-94.239 pbc="T T T"
Ca 0.000 0.000 0.000
La -0.010 0.000 6.536
La 4.860 0.000 3.399
La 7.051 0.000 0.097
La 7.313 0.000 6.487
La 12.204 0.000 3.476
La 12.467 0.000 9.865
La 14.657 0.000 6.564
La 19.527 0.000 3.426
Ir 2.393 0.000 4.983
Ir 2.430 0.000 8.188
Ir 9.759 0.000 4.981
Ir 17.087 0.000 1.775
Ir 17.124 0.000 4.980



4
Lattice="0.000 3.781 3.781 3.781 0.000 3.781 3.781 3.781 0.000" Properties=species:S:1:pos:R:3 comment="CaLa2Ir, optimized geometry, DFT GGA-PBE" formation_energy_ev_per_atom=-0.08 e_tot_ev_per_fu=-21.019 de_polymorph_mev_per_atom=369 pbc="T T T"
Ca 0.000 0.000 0.000
La 1.890 1.890 1.890
La 5.671 5.671 5.671
Ir 3.781 3.781 3.781



12
Lattice="6.314 0.000 0.000 0.000 7.388 0.000 -2.096 0.000 9.264" Properties=species:S:1:pos:R:3 comment="CaLa4Ir, optimized geometry, DFT GGA-PBE" formation_energy_ev_per_atom=-0.26 e_tot_ev_per_fu=-32.109 de_polymorph_mev_per_atom=0 pbc="T T T"
Ca 0.470 1.847 4.090
Ca 3.747 5.541 5.174
La 0.677 1.847 0.527
La 0.643 5.541 2.916
La 0.546 3.761 7.412
La 0.546 7.320 7.412
La 3.672 0.068 1.852
La 3.672 3.626 1.852
La 3.575 1.847 6.348
La 3.541 5.541 8.737
Ir 2.037 5.541 0.395
Ir 2.181 1.847 8.869



8
Lattice="2.081 -6.438 0.000 2.081 6.438 0.000 0.000 0.000 9.228" Properties=species:S:1:pos:R:3 comment="CaLa2Ir, optimized geometry, DFT GGA-PBE" formation_energy_ev_per_atom=-0.40 e_tot_ev_per_fu=-22.309 de_polymorph_mev_per_atom=47 pbc="T T T"
Ca 2.081 5.457 6.921
Ca 2.081 -5.457 2.307
La 2.081 1.879 5.201
La 2.081 1.879 8.641
La 2.081 -1.879 0.587
La 2.081 -1.879 4.027
Ir 2.081 3.288 2.307
Ir 2.081 -3.288 6.921



4
Lattice="3.608 0.000 0.000 0.000 3.608 0.000 0.000 0.000 9.746" Properties=species:S:1:pos:R:3 comment="Ca2LaIr, optimized geometry, DFT GGA-PBE" formation_energy_ev_per_atom=-0.29 e_tot_ev_per_fu=-18.953 de_polymorph_mev_per_atom=127 pbc="T T T"
Ca 0.000 0.000 0.000
Ca 1.804 1.804 3.113
La 1.804 1.804 6.434
Ir 0.000 0.000 4.929